# Li2HoThS4 (PBE, relaxed)
data_Li2HoThS4
_symmetry_space_group_name_H-M 'P 1 2/m 1'
_symmetry_Int_Tables_number 10
_symmetry_space_group_name_Hall '-P 2y'
_cell_length_a 6.6392
_cell_length_b 3.9133
_cell_length_c 6.8181
_cell_angle_alpha 90.00
_cell_angle_beta 109.86
_cell_angle_gamma 90.00
loop_
_atom_site_label
_atom_site_type_symbol
_atom_site_fract_x
_atom_site_fract_y
_atom_site_fract_z
_atom_site_occupancy
Li1 Li 0.0000 0.0000 0.0000 1
Li2 Li 0.0000 0.5000 0.5000 1
Ho1 Ho 0.5000 0.0000 0.5000 1
Th1 Th 0.5000 0.5000 0.0000 1
S1 S 0.2364 0.0000 0.7372 1
S2 S 0.2450 0.5000 0.2535 1
# Magnetization   0.00 μB/f.u.
# Mass density   5.37 Mg/m³
# Total DFT energy (no corrections)   -5.77 eV per atom